# PBE+U VPdIO2, optimized geometry
# ΔE to the lowest computed polymorph = 1.473 eV per atom
data_VPdIO2
_chemical_formula_sum 'V1 Pd1 I1 O2'
_cell_length_a 4.014
_cell_length_b 4.014
_cell_length_c 5.558
_cell_angle_alpha 90.00
_cell_angle_beta 90.00
_cell_angle_gamma 90.00
_symmetry_space_group_name_H-M 'P 1'
_symmetry_Int_Tables_number 1
loop_
_symmetry_equiv_pos_as_xyz
'x,y,z'
loop_
_atom_site_label
_atom_site_type_symbol
_atom_site_fract_x
_atom_site_fract_y
_atom_site_fract_z
_atom_site_occupancy
I1 I 0.000 0.000 0.500 1
Pd1 Pd 0.000 0.000 0.000 1
V1 V 0.500 0.500 0.500 1
O1 O 0.000 0.500 0.000 1
O2 O 0.500 0.000 0.000 1